Below is GdInGe after structural relaxation, with properties calculated at the PBE level.

Summary:
The value obtained for the energy above the most stable polymorph in this dataset is 0 meV per atom. Its calculated density is 7.7 g cm⁻³.

Lattice parameters (Å, degrees): 7.4512 7.4512 4.6389 90.00 90.00 120.00
With the nearest neighbours (Å) after each atom.
Sites, in units of the cell vectors:
Gd1 0.5678 0.0000 0.0000  5 In 3.20-3.22, 2 Ge 3.35
Gd2 0.4322 0.4322 0.0000  5 In 3.20-3.22, 2 Ge 3.35
Gd3 0.0000 0.5678 0.0000  5 In 3.20-3.22, 2 Ge 3.35
Ge1 0.2443 0.0000 0.5000  4 In 2.87-2.95, 2 Ge 3.15
Ge2 0.0000 0.2443 0.5000  4 In 2.87-2.95, 2 Ge 3.15
Ge3 0.7557 0.7557 0.5000  4 In 2.87-2.95, 2 Ge 3.15
In1 0.0000 0.0000 0.0000  6 Ge 2.95, 3 Gd 3.22
In2 0.6667 0.3333 0.5000  3 Ge 2.87, 6 Gd 3.20
In3 0.3333 0.6667 0.5000  3 Ge 2.87, 6 Gd 3.20



Below is GdInGe after structural relaxation, with properties calculated at the PBE level.

Summary:
The value obtained for the energy above the most stable polymorph in this dataset is 154 meV per atom. Its calculated density is 6.7 g cm⁻³.

Lattice parameters (Å, degrees): 4.9552 4.9552 4.9552 60.00 60.00 60.00
With the nearest neighbours (Å) after each atom.
Sites, in units of the cell vectors:
Gd1 0.0000 0.0000 0.0000  4 In 3.03, 4 Ge 3.03
Ge1 0.2500 0.2500 0.2500  4 Gd 3.03
In1 0.7500 0.7500 0.7500  4 Gd 3.03



Below is Gd2InGe after structural relaxation, with properties calculated at the PBE level.

Summary:
The total energy comes out at -4.82 eV per atom. Its calculated density is 7.9 g cm⁻³.

Lattice parameters (Å, degrees): 4.1684 6.0544 6.0544 43.49 90.00 90.00
With the nearest neighbours (Å) after each atom.
Sites, in units of the cell vectors:
Gd1 0.5000 0.1368 0.1368  4 Ge 3.11, 3 In 3.18-3.32
Gd2 0.0000 0.8566 0.8566  1 Ge 3.03, 4 In 3.14
Ge1 0.0000 0.5869 0.5869  2 In 2.81, 5 Gd 3.03-3.11
In1 0.5000 0.4197 0.4197  2 Ge 2.81, 4 Gd 3.14



Below is GdInGe after structural relaxation, with properties calculated at the PBE level.

Summary:
The value obtained for the energy above the most stable polymorph in this dataset is 7 meV per atom. Its calculated density is 7.2 g cm⁻³.

Lattice parameters (Å, degrees): 4.8261 4.8261 4.8261 60.00 60.00 60.00
With the nearest neighbours (Å) after each atom.
Sites, in units of the cell vectors:
Gd1 0.2500 0.2500 0.2500  4 Ge 2.96
Ge1 0.0000 0.0000 0.0000  4 Gd 2.96, 4 In 2.96
In1 0.7500 0.7500 0.7500  4 Ge 2.96